*w*
{
  "formula": "TlSn2Pb3",
  "functional": "PBE",
  "state": "optimized geometry",
  "dos_ef_per_ev_cell": 2.54,
  "space_group": "Cmmm, No. 65",
  "total_magnetization_mub_per_fu": 0.00,
  "volume_a3_per_atom": 30.28,
  "lattice": [[-1.5311, -3.0448, -4.9495], [-1.6878, -4.5184, 3.3017], [-3.9297, 4.2338, -1.3889]],
  "species": ["Tl", "Sn", "Sn", "Pb", "Pb", "Pb"],
  "frac_coords": [[0.0000, 0.0000, 0.0000], [0.0000, 0.6725, 0.3449], [0.0000, 0.3275, 0.6551], [0.5000, 0.1694, 0.3388], [0.5000, 0.5000, 0.0000], [0.5000, 0.8306, 0.6612]]
}

---

*x*
{
  "formula": "TlSn2Pb3",
  "functional": "PBE",
  "state": "optimized geometry",
  "dos_ef_per_ev_cell": 6.35,
  "space_group": "C2/m, No. 12",
  "total_magnetization_mub_per_fu": 0.00,
  "volume_a3_per_atom": 31.87,
  "lattice": [[-1.1095, 4.4187, -4.4195], [-2.7514, -5.5528, -4.7662], [-6.6069, 1.9460, 3.6991]],
  "species": ["Tl", "Tl", "Sn", "Sn", "Sn", "Sn", "Pb", "Pb", "Pb", "Pb", "Pb", "Pb"],
  "frac_coords": [[0.2480, 0.4151, 0.4151], [0.7520, 0.5849, 0.5849], [0.5000, 0.7499, 0.2501], [0.0000, 0.7539, 0.2461], [0.0000, 0.2461, 0.7539], [0.5000, 0.2501, 0.7499], [0.7496, 0.3827, 0.1115], [0.7496, 0.1115, 0.3827], [0.2504, 0.6173, 0.8885], [0.7460, 0.9202, 0.9202], [0.2540, 0.0798, 0.0798], [0.2504, 0.8885, 0.6173]]
}

---

Relative energy table, unit meV/atom: *w* 0; *x* 10

---

*w*
{
  "formula": "Tl4SnPb3",
  "functional": "PBE",
  "state": "optimized geometry",
  "dos_ef_per_ev_cell": 2.13,
  "space_group": "C2/m, No. 12",
  "total_magnetization_mub_per_fu": 0.00,
  "volume_a3_per_atom": 30.68,
  "lattice": [[-4.5416, 0.2665, 1.8701], [-0.2937, -4.9688, -0.0052], [5.9339, -2.7506, 8.3339]],
  "species": ["Tl", "Tl", "Tl", "Tl", "Sn", "Pb", "Pb", "Pb"],
  "frac_coords": [[0.3766, 0.6242, 0.7532], [0.6234, 0.3758, 0.2468], [0.7503, 0.7490, 0.5007], [0.2497, 0.2510, 0.4993], [0.5000, 0.0000, 0.0000], [0.0000, 0.5000, 0.0000], [0.1210, 0.8794, 0.2419], [0.8790, 0.1206, 0.7581]]
}

---

*x*
{
  "formula": "Tl4SnPb3",
  "functional": "PBE",
  "state": "optimized geometry",
  "dos_ef_per_ev_cell": 3.77,
  "space_group": "C2/m, No. 12",
  "total_magnetization_mub_per_fu": 0.00,
  "volume_a3_per_atom": 30.73,
  "lattice": [[3.5477, 0.0000, -0.4437], [-0.1790, 5.7954, -1.4314], [-0.2246, -2.4844, 12.6098]],
  "species": ["Pb", "Pb", "Pb", "Tl", "Tl", "Tl", "Tl", "Sn"],
  "frac_coords": [[0.0000, 0.5000, 0.0000], [0.8799, 0.6359, 0.7599], [0.1201, 0.3641, 0.2401], [0.7475, 0.7451, 0.4950], [0.2525, 0.2549, 0.5050], [0.3752, 0.1209, 0.7504], [0.6248, 0.8791, 0.2496], [0.5000, 0.0000, 0.0000]]
}

---

Relative energy table, unit meV/atom: *w* 0; *x* 13